[1]
Entry from Alexandria: a relaxed structure of Na4PrTm3Se8 (PBE).

Cell: 8.305 8.497 8.305 Å, 119.27 120.00 90.00°
Fractional positions:
Na 0.500 0.000 0.000
Na 0.500 0.000 0.500
Na 0.000 0.000 0.000
Na 0.000 0.000 0.500
Pr 0.000 0.500 0.000
Tm 0.500 0.500 0.000
Tm 0.500 0.500 0.500
Tm 0.000 0.500 0.500
Se 0.249 0.731 0.981
Se 0.249 0.730 0.498
Se 0.258 0.275 0.516
Se 0.732 0.731 0.981
Se 0.268 0.269 0.019
Se 0.742 0.725 0.484
Se 0.751 0.270 0.502
Se 0.751 0.269 0.019

The value obtained for the uncorrected formation energy is -1.687 eV/atom. Its mass density is 5.44 Mg/m³. As for the size of the total moment: 0.0 μB per formula unit. The symmetry is R-3m, No. 166.


[2]
Entry from Alexandria: a relaxed structure of Ho4RuBr5 (PBE).

Cell: 3.951 8.633 9.471 Å, 102.73 102.04 90.00°
Fractional positions:
Ho 0.355 0.924 0.710
Ho 0.998 0.784 0.996
Ho 0.645 0.076 0.290
Ho 0.002 0.216 0.004
Ru 0.500 0.000 0.000
Br 0.831 0.670 0.662
Br 0.822 0.154 0.643
Br 0.178 0.846 0.357
Br 0.500 0.500 0.000
Br 0.169 0.330 0.338

The value obtained for the uncorrected formation energy is -1.336 eV/atom. Its mass density is 6.26 Mg/m³. As for the size of the total moment: 0.0 μB per formula unit. The symmetry is C2/m, No. 12.


[3]
Entry from Alexandria: a relaxed structure of PmCu2 (PBE).

Cell: 4.340 5.575 5.575 Å, 78.87 67.09 67.09°
Fractional positions:
Pm 0.538 0.212 0.712
Pm 0.462 0.788 0.288
Cu 0.165 0.786 0.884
Cu 0.835 0.214 0.116
Cu 0.835 0.616 0.714
Cu 0.165 0.384 0.286

The formation energy is -0.225 eV/atom. Its mass density is 7.90 Mg/m³. As for the size of the total moment: 0.0 μB per formula unit. The symmetry is Imma, No. 74.


[4]
Entry from Alexandria: a relaxed structure of Y2BeNF (PBE).

Cell: 4.790 3.409 4.790 Å, 90.00 90.00 90.00°
Fractional positions:
Y 0.000 0.000 0.500
Y 0.500 0.000 0.000
Be 0.000 0.500 0.000
N 0.500 0.500 0.500
F 0.000 0.000 0.000

The value obtained for the uncorrected formation energy is -0.345 eV/atom. Its mass density is 4.67 Mg/m³. As for the size of the total moment: 0.0 μB per formula unit. The symmetry is P4/mmm, No. 123.


[5]
Entry from Alexandria: a relaxed structure of Hf2NiIr (PBE).

Cell: 7.097 7.097 5.774 Å, 52.08 52.08 90.00°
Fractional positions:
Ni 0.500 0.500 0.000
Ni 0.250 0.750 0.500
Ir 0.000 0.000 0.000
Ir 0.750 0.250 0.500
Hf 0.619 0.125 0.250
Hf 0.131 0.625 0.250
Hf 0.375 0.381 0.750
Hf 0.875 0.869 0.750

The formation energy is -0.166 eV/atom. Its mass density is 14.03 Mg/m³. As for the size of the total moment: 0.0 μB per formula unit. The symmetry is I-42d, No. 122.


[6]
Entry from Alexandria: a relaxed structure of Tm12As3O5 (PBE).

Cell: 12.961 12.961 12.961 Å, 109.47 109.47 109.47°
Fractional positions:
As 0.750 0.375 0.125
As 0.875 0.750 0.125
As 0.375 0.750 0.625
As 0.250 0.125 0.375
As 0.875 0.125 0.250
As 0.375 0.625 0.250
As 0.625 0.375 0.750
As 0.125 0.875 0.750
As 0.750 0.875 0.625
As 0.625 0.250 0.375
As 0.125 0.250 0.875
As 0.250 0.625 0.875
Tm 0.702 0.111 0.014
Tm 0.312 0.514 0.403
Tm 0.986 0.389 0.298
Tm 0.514 0.202 0.111
Tm 0.590 0.702 0.688
Tm 0.986 0.597 0.188
Tm 0.312 0.798 0.410
Tm 0.097 0.910 0.111
Tm 0.597 0.986 0.688
Tm 0.702 0.590 0.188
Tm 0.798 0.486 0.389
Tm 0.812 0.903 0.014
Tm 0.111 0.702 0.514
Tm 0.389 0.403 0.090
Tm 0.090 0.903 0.389
Tm 0.410 0.111 0.597
Tm 0.090 0.188 0.202
Tm 0.486 0.688 0.097
Tm 0.812 0.910 0.298
Tm 0.111 0.410 0.097
Tm 0.389 0.986 0.798
Tm 0.597 0.611 0.410
Tm 0.903 0.812 0.514
Tm 0.798 0.312 0.910
Tm 0.403 0.389 0.590
Tm 0.097 0.188 0.486
Tm 0.202 0.688 0.090
Tm 0.188 0.090 0.702
Tm 0.611 0.014 0.202
Tm 0.889 0.590 0.903
Tm 0.514 0.312 0.903
Tm 0.590 0.889 0.403
Tm 0.910 0.812 0.798
Tm 0.910 0.097 0.611
Tm 0.889 0.298 0.486
Tm 0.188 0.097 0.986
Tm 0.611 0.597 0.910
Tm 0.403 0.014 0.312
Tm 0.298 0.410 0.812
Tm 0.202 0.514 0.611
Tm 0.903 0.090 0.889
Tm 0.688 0.202 0.590
Tm 0.486 0.798 0.889
Tm 0.014 0.403 0.812
Tm 0.410 0.298 0.312
Tm 0.014 0.611 0.702
Tm 0.688 0.486 0.597
Tm 0.298 0.889 0.986
O 0.125 0.375 0.250
O 0.000 0.500 0.000
O 0.000 0.000 0.000
O 0.375 0.250 0.125
O 0.500 0.000 0.500
O 0.500 0.500 0.000
O 0.125 0.750 0.375
O 0.750 0.125 0.875
O 0.750 0.625 0.375
O 0.375 0.125 0.750
O 0.625 0.875 0.250
O 0.500 0.500 0.500
O 0.500 0.000 0.000
O 0.000 0.000 0.500
O 0.250 0.375 0.625
O 0.250 0.875 0.125
O 0.000 0.500 0.500
O 0.875 0.250 0.625
O 0.625 0.750 0.875
O 0.875 0.625 0.750

The value obtained for the uncorrected formation energy is -1.764 eV/atom. Its mass density is 9.24 Mg/m³. As for the size of the total moment: 0.0 μB per formula unit. The symmetry is Ia-3d, No. 230.


[7]
Entry from Alexandria: a relaxed structure of Zn2CdPd (PBE).

Cell: 3.913 3.913 9.850 Å, 78.54 78.54 90.00°
Fractional positions:
Zn 0.599 0.125 0.250
Zn 0.151 0.625 0.250
Zn 0.375 0.401 0.750
Zn 0.875 0.849 0.750
Pd 0.500 0.500 0.000
Pd 0.250 0.750 0.500
Cd 0.000 0.000 0.000
Cd 0.750 0.250 0.500

The formation energy is -0.046 eV/atom. Its mass density is 8.02 Mg/m³. As for the size of the total moment: 0.0 μB per formula unit. The symmetry is I-42d, No. 122.


[8]
Entry from Alexandria: a relaxed structure of LiEr3In2 (PBE).

Cell: 5.237 5.237 12.870 Å, 90.00 90.00 120.00°
Fractional positions:
Li 0.333 0.667 0.671
Li 0.667 0.333 0.329
Er 0.333 0.667 0.419
Er 0.667 0.333 0.084
Er 0.000 0.000 0.750
Er 0.000 0.000 0.250
Er 0.333 0.667 0.916
Er 0.667 0.333 0.581
In 0.000 0.000 0.500
In 0.333 0.667 0.177
In 0.667 0.333 0.823
In 0.000 0.000 0.000

The formation energy is -0.327 eV/atom. Its mass density is 8.02 Mg/m³. As for the size of the total moment: 0.0 μB per formula unit. The symmetry is P-3m1, No. 164.


[9]
Entry from Alexandria: a relaxed structure of HoMg2Cd8 (PBE).

Cell: 4.622 6.920 8.371 Å, 103.72 106.03 90.00°
Fractional positions:
Ho 0.500 0.000 0.000
Mg 0.240 0.649 0.480
Mg 0.760 0.351 0.520
Cd 0.592 0.478 0.184
Cd 0.310 0.094 0.620
Cd 0.134 0.213 0.267
Cd 0.057 0.742 0.113
Cd 0.866 0.787 0.733
Cd 0.690 0.906 0.380
Cd 0.408 0.522 0.816
Cd 0.943 0.258 0.887

The formation energy is -0.123 eV/atom. Its mass density is 7.41 Mg/m³. As for the size of the total moment: 0.0 μB per formula unit. The symmetry is C2/m, No. 12.


[10]
Entry from Alexandria: a relaxed structure of Nd2Ho3In3 (PBE).

Cell: 4.915 4.985 9.261 Å, 90.00 90.00 90.00°
Fractional positions:
Nd 0.000 0.000 0.743
Nd 0.000 0.000 0.257
Ho 0.500 0.500 0.731
Ho 0.500 0.500 0.269
Ho 0.500 0.000 0.000
In 0.500 0.000 0.500
In 0.000 0.500 0.000
In 0.000 0.500 0.500

The formation energy is -0.348 eV/atom. Its mass density is 8.25 Mg/m³. As for the size of the total moment: 0.0 μB per formula unit. The symmetry is Pmmm, No. 47.


[11]
Entry from Alexandria: a relaxed structure of Li4Tb3ZrSe8 (PBE).

Cell: 8.017 7.994 8.016 Å, 120.11 120.00 90.00°
Fractional positions:
Li 0.500 0.000 0.000
Li 0.500 0.000 0.500
Li 0.000 0.000 0.000
Li 0.000 0.000 0.500
Tb 0.500 0.500 0.000
Tb 0.500 0.500 0.500
Tb 0.000 0.500 0.500
Zr 0.000 0.500 0.000
Se 0.245 0.753 0.008
Se 0.245 0.753 0.490
Se 0.247 0.242 0.494
Se 0.763 0.753 0.008
Se 0.237 0.247 0.992
Se 0.753 0.758 0.506
Se 0.755 0.247 0.510
Se 0.755 0.247 0.992

The value obtained for the uncorrected formation energy is -1.583 eV/atom. Its mass density is 5.62 Mg/m³. As for the size of the total moment: 0.0 μB per formula unit. The symmetry is R-3m, No. 166.


[12]
Entry from Alexandria: a relaxed structure of ErBr2F (PBE).

Cell: 3.732 7.533 8.517 Å, 90.00 90.00 105.18°
Fractional positions:
Er 0.753 0.505 0.750
Er 0.247 0.495 0.250
Br 0.138 0.287 0.550
Br 0.862 0.713 0.450
Br 0.138 0.287 0.950
Br 0.862 0.713 0.050
F 0.669 0.346 0.250
F 0.331 0.654 0.750

The value obtained for the uncorrected formation energy is -2.586 eV/atom. Its mass density is 4.97 Mg/m³. As for the size of the total moment: 0.0 μB per formula unit. The symmetry is P2_1/m, No. 11.


[13]
Entry from Alexandria: a relaxed structure of HI (PBE).

Cell: 4.301 5.760 13.112 Å, 90.00 90.00 90.00°
Fractional positions:
H 0.000 0.976 0.588
H 0.500 0.024 0.912
H 0.500 0.024 0.088
H 0.000 0.976 0.412
H 0.000 0.743 0.000
H 0.500 0.257 0.500
I 0.000 0.746 0.853
I 0.500 0.254 0.647
I 0.500 0.254 0.353
I 0.000 0.746 0.147
I 0.000 0.755 0.500
I 0.500 0.245 0.000

Its mass density is 3.92 Mg/m³. Its energy is -27.0 eV/cell. As for the size of the total moment: 0.0 μB per formula unit. The symmetry is Pmmn, No. 59.


[14]
Entry from Alexandria: a relaxed structure of WAuBr2 (PBE).

Cell: 3.077 3.077 9.362 Å, 90.00 90.00 90.00°
Fractional positions:
Au 0.500 0.500 0.750
Br 0.000 0.000 0.076
Br 0.000 0.000 0.424
W 0.500 0.500 0.250

The value obtained for the uncorrected formation energy is 0.728 eV/atom. Its mass density is 10.13 Mg/m³. As for the size of the total moment: 0.0 μB per formula unit. The symmetry is P4/mmm, No. 123.


[15]
Entry from Alexandria: a relaxed structure of InCu6Si (PBE).

Cell: 4.096 4.559 5.711 Å, 90.00 90.00 90.00°
Fractional positions:
In 0.000 0.685 0.000
Cu 0.500 0.840 0.279
Cu 0.000 0.177 0.725
Cu 0.000 0.177 0.275
Cu 0.500 0.840 0.721
Cu 0.000 0.658 0.500
Cu 0.500 0.285 0.000
Si 0.500 0.337 0.500

The value obtained for the uncorrected formation energy is -0.008 eV/atom. Its mass density is 8.16 Mg/m³. As for the size of the total moment: 0.0 μB per formula unit. The symmetry is Pmm2, No. 25.


[16]
Entry from Alexandria: a relaxed structure of Mn2Pd7Au2 (PBE).

Cell: 6.687 5.236 5.236 Å, 94.66 98.92 98.92°
Each line ends with the local moment (μB).
Fractional positions:
Mn 0.000 0.310 0.690  3.91
Mn 0.000 0.690 0.310  3.91
Pd 0.698 0.543 0.922  0.16
Pd 0.302 0.078 0.457  0.16
Pd 0.302 0.457 0.078  0.16
Pd 0.698 0.922 0.543  0.16
Pd 0.500 0.000 0.000  0.10
Pd 0.342 0.594 0.594  0.16
Pd 0.658 0.406 0.406  0.16
Au 0.083 0.841 0.841  0.08
Au 0.917 0.159 0.159  0.08

The formation energy is -0.055 eV/atom. Its mass density is 11.66 Mg/m³. As for the size of the total moment: 9.3 μB per formula unit. The symmetry is C2/m, No. 12.


[17]
Entry from Alexandria: a relaxed structure of Pa3TcN7 (PBE).

Cell: 6.541 6.541 7.463 Å, 90.00 90.00 108.91°
Fractional positions:
Pa 0.469 0.469 0.500
Pa 0.531 0.531 0.000
Pa 0.536 0.000 0.259
Pa 0.464 0.000 0.759
Pa 0.000 0.536 0.741
Pa 0.000 0.464 0.241
Tc 0.968 0.968 0.500
Tc 0.032 0.032 0.000
N 0.678 0.929 0.543
N 0.322 0.071 0.043
N 0.929 0.678 0.457
N 0.071 0.322 0.957
N 0.100 0.358 0.513
N 0.900 0.642 0.013
N 0.358 0.100 0.487
N 0.642 0.900 0.987
N 0.373 0.627 0.250
N 0.627 0.373 0.750
N 0.639 0.361 0.250
N 0.361 0.639 0.750
N 0.938 0.062 0.250
N 0.062 0.938 0.750

The value obtained for the uncorrected formation energy is -1.116 eV/atom. Its mass density is 9.78 Mg/m³. As for the size of the total moment: 0.0 μB per formula unit. The symmetry is C222_1, No. 20.


[18]
Entry from Alexandria: a relaxed structure of NdYMg (PBE).

Cell: 3.753 13.076 7.416 Å, 90.00 90.00 90.00°
Fractional positions:
Nd 0.750 0.090 0.129
Nd 0.250 0.590 0.371
Nd 0.250 0.910 0.871
Nd 0.750 0.410 0.629
Y 0.750 0.404 0.120
Y 0.250 0.904 0.380
Y 0.250 0.596 0.880
Y 0.750 0.096 0.620
Mg 0.750 0.753 0.126
Mg 0.250 0.253 0.374
Mg 0.250 0.247 0.874
Mg 0.750 0.747 0.626

The formation energy is -0.054 eV/atom. Its mass density is 4.70 Mg/m³. As for the size of the total moment: 0.0 μB per formula unit. The symmetry is Pnma, No. 62.


[19]
Entry from Alexandria: a relaxed structure of Li7Zn2Pd3 (PBE).

Cell: 2.765 4.421 15.053 Å, 98.37 90.00 90.00°
Fractional positions:
Li 0.500 0.910 0.790
Li 0.500 0.090 0.210
Li 0.500 0.736 0.472
Li 0.500 0.264 0.528
Li 0.000 0.000 0.000
Li 0.000 0.442 0.858
Li 0.000 0.558 0.142
Zn 0.500 0.639 0.307
Zn 0.500 0.361 0.693
Pd 0.000 0.830 0.633
Pd 0.000 0.170 0.367
Pd 0.500 0.500 0.000

The formation energy is -0.286 eV/atom. Its mass density is 4.55 Mg/m³. As for the size of the total moment: 0.0 μB per formula unit. The symmetry is P2/m, No. 10.